## BaPrEuWO6 (PBE+U)

Data for a geometry-optimized BaPrEuWO6 structure.

Geometry as POSCAR:
```
BaPrEuWO6
1.0
0.0000 4.3275 4.3275
4.3275 0.0000 4.3275
4.3275 4.3275 0.0000
Ba Pr Eu W O
1 1 1 1 6
Cartesian
0.0000 0.0000 0.0000 Ba
2.1637 2.1637 2.1637 Pr
4.3275 4.3275 4.3275 Eu
6.4912 6.4912 6.4912 W
6.4912 6.4912 4.4975 O
6.4912 4.4975 6.4912 O
8.4849 6.4912 6.4912 O
4.4975 6.4912 6.4912 O
6.4912 8.4849 6.4912 O
6.4912 6.4912 8.4849 O
```

Calculated values
- polymorph energy (0 for the lowest one) (meV/atom) = 128
- DOS at the Fermi energy (states/eV per atom) = 0.20
- total energy (eV per atom) = -8.004